Material: Li3Pu2US6
Method: DFT, PBE
State: optimized geometry

Cell: 6.8409 6.8409 6.5298 Å, 100.05 100.05 120.01°
Each line ends with the local moment (μB).
Element x y z (fractional)
Li  0.1651  0.8349  0.5000  0.00
Li  0.8349  0.1651  0.5000  0.00
Li  0.5000  0.5000  0.5000  0.00
Pu  0.3330  0.6670  0.0000  5.21
Pu  0.6670  0.3330  0.0000  5.21
U  0.0000  0.0000  0.0000  2.30
S  0.9157  0.5897  0.7473  -0.08
S  0.7569  0.7569  0.2498  -0.08
S  0.0843  0.4103  0.2527  -0.08
S  0.5897  0.9157  0.7473  -0.08
S  0.2431  0.2431  0.7502  -0.08
S  0.4103  0.0843  0.2527  -0.08

As for the uncorrected formation energy: -1.51 eV per atom.